# LiTiMo2Au

LiTiMo2Au after structural relaxation (PBE, Alexandria).

It has space group P4/mmm (No. 123), with a = 4.930 Å, b = 4.930 Å, c = 4.875 Å, α = 90.00°, β = 90.00° and γ = 90.00°. Symmetry generates all atoms from Li at (0.000, 0.000, 0.000), Ti at (0.500, 0.500, 0.000), Mo at (0.000, 0.500, 0.500) and Au at (0.500, 0.500, 0.500).

The raw total energy is -26.2 eV/f.u. The value obtained for the formation energy is 1.714 eV per atom. For the magnetization, the calculation gives 0.00 μB/cell.

---

# BaNa2ZnAu

BaNa2ZnAu after structural relaxation (PBE, Alexandria).

It has space group P4/mmm (No. 123), with a = 5.609 Å, b = 5.609 Å, c = 5.095 Å, α = 90.00°, β = 90.00° and γ = 90.00°. Symmetry generates all atoms from Ba at (0.000, 0.000, 0.000), Na at (0.000, 0.500, 0.500), Zn at (0.500, 0.500, 0.000) and Au at (0.500, 0.500, 0.500).

The raw total energy is -9.7 eV/f.u. The value obtained for the formation energy is -0.120 eV per atom. For the magnetization, the calculation gives 0.00 μB/cell.

---

# TmMg3Pd2

TmMg3Pd2 after structural relaxation (PBE, Alexandria).

It has space group Pmc2_1 (No. 26), with a = 4.019 Å, b = 8.535 Å, c = 7.045 Å, α = 90.00°, β = 90.00° and γ = 90.00°. Symmetry generates all atoms from Tm at (0.000, 0.085, 0.000), Mg at (0.000, 0.318, 0.608), Mg at (0.500, 0.199, 0.330), Mg at (0.500, 0.422, 0.931), Pd at (0.000, 0.384, 0.220) and Pd at (0.500, 0.110, 0.708).

The raw total energy is -23.3 eV/f.u. The value obtained for the formation energy is -0.612 eV per atom. For the magnetization, the calculation gives 0.00 μB/cell.

---

# AlTl2Zn

AlTl2Zn after structural relaxation (PBE, Alexandria).

It has space group Pm (No. 6), with a = 3.967 Å, b = 4.491 Å, c = 5.739 Å, α = 90.00°, β = 109.07° and γ = 90.00°. Symmetry generates all atoms from Al at (0.000, 0.000, 0.000), Tl at (0.274, 0.000, 0.556), Tl at (0.588, 0.500, 0.181) and Zn at (0.854, 0.500, 0.730).

The raw total energy is -9.0 eV/f.u. The value obtained for the formation energy is 0.184 eV per atom. For the magnetization, the calculation gives 0.00 μB/cell.